Record 1
Here is crystalline KYB2Os at its relaxed geometry from Alexandria via LeMat-Bulk. Energies are from PBE.

Summary:
total magnetization: 0.00 μB per formula unit
symmetry: P4/mmm, No. 123
total DFT energy (no corrections): -26.58 eV per cell

```
5
Lattice="-3.389 2.167 1.274 -2.728 -4.450 0.313 1.214 -0.462 4.014" Properties=species:S:1:pos:R:3 pbc="T T T"
Y -2.451 -1.373 2.801
K -1.364 -2.225 0.156
B 0.607 -0.231 2.007
B -1.694 1.083 0.637
Os 0.000 0.000 0.000
```

---

Record 2
Here is crystalline K2BP2 at its relaxed geometry from Alexandria via LeMat-Bulk. Energies are from PBE.

Summary:
total magnetization: 0.00 μB per formula unit
symmetry: C2/m, No. 12
total DFT energy (no corrections): -40.16 eV per cell

```
10
Lattice="-2.626 -2.082 1.511 5.563 -5.603 6.420 -2.301 4.164 6.209" Properties=species:S:1:pos:R:3 pbc="T T T"
K -1.029 -1.575 4.985
K -2.966 0.223 8.568
K 1.665 -1.946 9.156
K 3.602 -3.744 5.573
B -3.161 1.258 5.181
B 3.798 -4.778 8.959
P -1.254 1.494 4.350
P 1.574 -2.717 12.406
P 1.890 -5.015 9.790
P -0.938 -0.803 1.735
```

---

Record 3
Here is crystalline K2BP2 at its relaxed geometry from Alexandria via LeMat-Bulk. Energies are from PBE.

Summary:
total magnetization: 0.00 μB per formula unit
symmetry: P4/mbm, No. 127
total DFT energy (no corrections): -27.65 eV per cell

```
10
Lattice="9.981 0.000 0.000 0.000 9.981 0.000 0.000 0.000 2.608" Properties=species:S:1:pos:R:3 pbc="T T T"
P 1.617 6.607 1.304
P 6.607 8.364 1.304
P 8.364 3.374 1.304
P 3.374 1.617 1.304
K 3.628 8.619 0.000
K 8.619 6.353 0.000
K 6.353 1.362 0.000
K 1.362 3.628 0.000
B 0.000 0.000 0.000
B 4.991 4.991 0.000
```

---

Record 4
Here is crystalline K3BP at its relaxed geometry from Alexandria via LeMat-Bulk. Energies are from PBE.

Summary:
total magnetization: 1.00 μB per formula unit
symmetry: Pm-3m, No. 221
total DFT energy (no corrections): -10.67 eV per cell

```
5
Lattice="-5.630 1.351 2.265 1.408 -2.976 5.273 2.231 5.288 2.389" Properties=species:S:1:pos:R:3 pbc="T T T"
P 0.000 0.000 0.000
K 0.704 -1.488 2.637
K 1.115 2.644 1.195
K -2.815 0.676 1.133
B -0.996 1.831 4.964
```

---

Record 5
Here is crystalline KB3P3 at its relaxed geometry from Alexandria via LeMat-Bulk. Energies are from PBE.

Summary:
total magnetization: 0.00 μB per formula unit
symmetry: R-3, No. 148
total DFT energy (no corrections): -76.14 eV per cell

```
14
Lattice="-3.679 3.467 -2.448 -5.461 -1.312 -0.095 -4.224 5.048 7.053" Properties=species:S:1:pos:R:3 pbc="T T T"
K -7.270 5.766 6.206
K -6.093 1.436 -1.695
B -8.738 4.039 3.815
B -6.324 6.065 3.065
B -5.696 3.318 4.663
B -7.668 3.885 -0.153
B -7.040 1.138 1.446
B -4.626 3.163 0.696
P -5.228 1.605 1.543
P -5.858 4.356 -0.059
P -8.276 2.327 0.693
P -5.088 4.875 3.818
P -7.506 2.846 4.569
P -8.135 5.597 2.968
```

---

Record 6
Here is crystalline K2BP2 at its relaxed geometry from Alexandria via LeMat-Bulk. Energies are from PBE.

Summary:
total magnetization: 1.10 μB per formula unit
symmetry: I4/mmm, No. 139
total DFT energy (no corrections): -16.08 eV per cell

```
5
Lattice="-0.203 1.062 3.238 -1.627 -2.880 0.842 7.836 -5.273 4.021" Properties=species:S:1:pos:R:3 pbc="T T T"
P 3.359 -2.560 4.650
P 2.647 -4.531 3.452
K 0.900 -1.814 2.451
K 5.106 -5.277 5.650
B 0.000 0.000 0.000
```

---

Record 7
Here is crystalline KBPS2 at its relaxed geometry from Alexandria via LeMat-Bulk. Energies are from PBE.

Summary:
formation energy from raw total energies: 191 kJ/mol of formula units
total magnetization: 0.00 μB per formula unit
symmetry: P4/mmm, No. 123

```
5
Lattice="-4.632 -0.603 0.964 0.202 -4.416 -1.791 0.927 -1.408 3.575" Properties=species:S:1:pos:R:3 pbc="T T T"
P 0.463 -0.704 1.787
K -1.751 -3.213 1.374
B 0.000 0.000 0.000
S 0.101 -2.208 -0.896
S -2.316 -0.302 0.482
```

---

Record 8
Here is crystalline KBPS2 at its relaxed geometry from Alexandria via LeMat-Bulk. Energies are from PBE.

Summary:
formation energy from raw total energies: 1103 kJ/mol of formula units
total magnetization: 2.32 μB per formula unit
symmetry: P4/mmm, No. 123

```
5
Lattice="5.600 0.000 0.000 0.000 5.600 0.000 0.000 0.000 5.831" Properties=species:S:1:pos:R:3 pbc="T T T"
P 0.000 0.000 2.915
K 0.000 0.000 0.000
B 2.800 2.800 2.915
S 0.000 2.800 0.000
S 2.800 0.000 0.000
```

---

Record 9
Here is crystalline KBP2S at its relaxed geometry from Alexandria via LeMat-Bulk. Energies are from PBE.

Summary:
formation energy from raw total energies: 291 kJ/mol of formula units
total magnetization: 0.00 μB per formula unit
symmetry: P4/mmm, No. 123

```
5
Lattice="4.171 0.000 0.000 0.000 4.171 0.000 0.000 0.000 5.230" Properties=species:S:1:pos:R:3 pbc="T T T"
P 0.000 2.086 0.000
P 2.086 0.000 0.000
K 2.086 2.086 2.615
B 0.000 0.000 0.000
S 0.000 0.000 2.615
```

---

Record 10
Here is crystalline KBP2S at its relaxed geometry from Alexandria via LeMat-Bulk. Energies are from PBE.

Summary:
formation energy from raw total energies: 1222 kJ/mol of formula units
total magnetization: 4.60 μB per formula unit
symmetry: P4/mmm, No. 123

```
5
Lattice="-3.349 -3.154 -3.925 4.099 -4.446 0.076 -2.736 -2.449 4.302" Properties=species:S:1:pos:R:3 pbc="T T T"
P 2.049 -2.223 0.038
P -1.674 -1.577 -1.963
K 0.000 0.000 0.000
B -0.993 -5.024 0.226
S -1.368 -1.224 2.151
```

---

Record 11
Here is crystalline KSn2BP at its relaxed geometry from Alexandria via LeMat-Bulk. Energies are from PBE.

Summary:
total magnetization: 0.00 μB per formula unit
symmetry: P4/mmm, No. 123
total DFT energy (no corrections): -18.14 eV per cell

```
5
Lattice="4.860 0.000 0.000 0.000 4.943 0.000 0.000 0.000 4.860" Properties=species:S:1:pos:R:3 pbc="T T T"
P 0.000 2.472 0.000
K 2.430 2.472 2.430
B 0.000 0.000 0.000
Sn 0.000 0.000 2.430
Sn 2.430 0.000 0.000
```

---

Record 12
Here is crystalline KZnBP2 at its relaxed geometry from Alexandria via LeMat-Bulk. Energies are from PBE.

Summary:
total magnetization: 0.10 μB per formula unit
symmetry: P4/mmm, No. 123
total DFT energy (no corrections): -13.19 eV per cell

```
5
Lattice="4.617 0.000 0.000 0.000 5.657 0.000 0.000 0.000 4.617" Properties=species:S:1:pos:R:3 pbc="T T T"
P 0.000 0.000 2.308
P 2.308 0.000 0.000
Zn 0.000 0.000 0.000
B 2.308 2.828 2.308
K 0.000 2.828 0.000
```